[1]
DFT (PBE) results for Gd2ErCd4In2 after structural relaxation.

a b c (Å): 4.622 7.480 7.480
angles (deg): 119.58 90.00 90.00
Element x y z (fractional)
Gd 0.000 0.428 0.001
Gd 0.000 0.001 0.428
Er 0.000 0.574 0.574
In 0.500 0.666 0.335
Cd 0.500 0.757 0.000
In 0.500 0.335 0.666
Cd 0.500 0.242 0.242
Cd 0.500 0.000 0.757
Cd 0.000 0.996 0.996

Calculated values
Its total energy is -26.53 eV/f.u. As for the symmetry: Amm2, No. 38.

---

[2]
DFT (PBE) results for HfCu2Pt after structural relaxation.

a b c (Å): 4.426 4.426 4.426
angles (deg): 60.00 60.00 60.00
Element x y z (fractional)
Hf 0.500 0.500 0.500
Pt 0.750 0.750 0.750
Cu 0.250 0.250 0.250
Cu 0.000 0.000 0.000

Calculated values
The value obtained for the formation energy is -451 meV per atom. As for the symmetry: F-43m, No. 216.